[1]
# MgCdCu2

A crystal of MgCdCu2 relaxed with PBEsol (meta-GGA SCAN, Alexandria via LeMat-Bulk).

The space group is Imm2 (No. 44) and the conventional cell measures 3.2624, 4.2764 and 8.6518 Å, with angles of 90.00, 90.00 and 90.00 degrees. The distinct sites, in fractional coordinates, are Mg at (0.0000, 0.0000, 0.0000), Cd at (0.0000, 0.5000, 0.2249), Cu at (0.0000, 0.0000, 0.4734) and Cu at (0.0000, 0.5000, 0.7613).

The calculation puts the spin magnetization at 0.00 μB/f.u. The energy of formation comes out at -0.049 eV/atom.

---

[2]
# BaBeZn2Cl

A crystal of BaBeZn2Cl relaxed with PBEsol (meta-GGA SCAN, Alexandria via LeMat-Bulk).

The space group is P4/mmm (No. 123) and the conventional cell measures 6.5016, 6.5016 and 5.7417 Å, with angles of 90.00, 90.00 and 90.00 degrees. The distinct sites, in fractional coordinates, are Ba at (0.0000, 0.0000, 0.0000), Be at (0.5000, 0.5000, 0.5000), Zn at (0.0000, 0.5000, 0.0000) and Cl at (0.0000, 0.0000, 0.5000).

The calculation puts the spin magnetization at 0.00 μB/f.u. The uncorrected formation energy comes out at 2.59 eV per formula unit.

---

[3]
# Al2AgPt2

A crystal of Al2AgPt2 relaxed with PBEsol (meta-GGA SCAN, Alexandria via LeMat-Bulk).

The space group is P4/mbm (No. 127) and the conventional cell measures 7.3716, 7.3716 and 2.7991 Å, with angles of 90.00, 90.00 and 90.00 degrees. The distinct sites, in fractional coordinates, are Al at (0.1549, 0.3451, 0.0000), Ag at (0.0000, 0.0000, 0.5000) and Pt at (0.1421, 0.6421, 0.5000).

The calculation puts the spin magnetization at 0.00 μB/f.u. The energy of formation comes out at -0.975 eV/atom. As for the energy above the most stable polymorph in this dataset: 0.000 eV/atom.

---

[4]
# Sm4Se3O4

A crystal of Sm4Se3O4 relaxed with PBEsol (meta-GGA SCAN, Alexandria via LeMat-Bulk).

The space group is Amm2 (No. 38) and the conventional cell measures 8.3070, 3.9171 and 12.6343 Å, with angles of 90.00, 90.00 and 90.00 degrees. The distinct sites, in fractional coordinates, are Sm at (0.0000, 0.0000, 0.0000), Sm at (0.2375, 0.0000, 0.6815), Sm at (0.5000, 0.0000, 0.0159), Se at (0.0000, 0.0000, 0.3116), Se at (0.3491, 0.0000, 0.3548), O at (0.0000, 0.0000, 0.5876), O at (0.2442, 0.0000, 0.0861) and O at (0.5000, 0.0000, 0.6144).

The calculation puts the spin magnetization at 0.00 μB/f.u. The uncorrected formation energy comes out at -34.00 eV per formula unit.

---

[5]
# RuCl3

A crystal of RuCl3 relaxed with PBEsol (meta-GGA SCAN, Alexandria via LeMat-Bulk).

The space group is Pm-3m (No. 221) and the conventional cell measures 4.2298, 4.2298 and 4.2298 Å, with angles of 90.00, 90.00 and 90.00 degrees. The distinct sites, in fractional coordinates, are Ru at (0.0000, 0.0000, 0.0000) and Cl at (0.0000, 0.5000, 0.5000).

The calculation puts the spin magnetization at 5.01 μB/f.u. The uncorrected formation energy comes out at 2.93 eV per formula unit.

---

[6]
# KLi2Co

A crystal of KLi2Co relaxed with PBEsol (meta-GGA SCAN, Alexandria via LeMat-Bulk).

The space group is Pm (No. 6) and the conventional cell measures 2.7070, 4.3267 and 7.5986 Å, with angles of 90.00, 100.35 and 90.00 degrees. The distinct sites, in fractional coordinates, are K at (0.0000, 0.0000, 0.0000), Li at (0.6933, 0.5000, 0.3902), Li at (0.7811, 0.0000, 0.5863) and Co at (0.3344, 0.5000, 0.6826).

The calculation puts the spin magnetization at 1.94 μB/f.u. The energy of formation comes out at 0.469 eV/atom. As for the energy above the most stable polymorph in this dataset: 0.000 eV/atom.

---

[7]
# BaCaRe

A crystal of BaCaRe relaxed with PBEsol (meta-GGA SCAN, Alexandria via LeMat-Bulk).

The space group is P3m1 (No. 156) and the conventional cell measures 5.3751, 5.3751 and 2.9181 Å, with angles of 90.00, 90.00 and 120.00 degrees. The distinct sites, in fractional coordinates, are Ba at (0.0000, 0.0000, 0.0000), Ca at (0.3333, 0.6667, 0.9941) and Re at (0.6667, 0.3333, 0.4975).

The calculation puts the spin magnetization at 0.00 μB/f.u. The energy of formation comes out at 1.142 eV/atom. As for the energy above the most stable polymorph in this dataset: 0.000 eV/atom.

---

[8]
# U3O8

A crystal of U3O8 relaxed with PBEsol (meta-GGA SCAN, Alexandria via LeMat-Bulk).

The space group is P-62m (No. 189) and the conventional cell measures 6.7537, 6.7537 and 4.1245 Å, with angles of 90.00, 90.00 and 120.00 degrees. The distinct sites, in fractional coordinates, are U at (0.0000, 0.6467, 0.0000), O at (0.0000, 0.2554, 0.0000), O at (0.0000, 0.6408, 0.5000) and O at (0.3333, 0.6667, 0.0000).

The calculation puts the spin magnetization at 2.00 μB/f.u. The uncorrected formation energy comes out at -36.75 eV per formula unit.

---

[9]
# Hg2TeH2

A crystal of Hg2TeH2 relaxed with PBEsol (meta-GGA SCAN, Alexandria via LeMat-Bulk).

The space group is I4/mmm (No. 139) and the conventional cell measures 5.0973, 5.0973 and 7.0111 Å, with angles of 90.00, 90.00 and 90.00 degrees. The distinct sites, in fractional coordinates, are Hg at (0.0000, 0.5000, 0.2500), Te at (0.0000, 0.0000, 0.0000) and H at (0.0000, 0.0000, 0.4448).

The calculation puts the spin magnetization at 0.00 μB/f.u. The electronic total energy is -360.274 eV/cell.

---

[10]
# NaZr3Pt

A crystal of NaZr3Pt relaxed with PBEsol (meta-GGA SCAN, Alexandria via LeMat-Bulk).

The space group is Pm-3m (No. 221) and the conventional cell measures 4.7598, 4.7598 and 4.7598 Å, with angles of 90.00, 90.00 and 90.00 degrees. The distinct sites, in fractional coordinates, are Na at (0.0000, 0.0000, 0.0000), Zr at (0.0000, 0.0000, 0.5000) and Pt at (0.5000, 0.5000, 0.5000).

The calculation puts the spin magnetization at 0.00 μB/f.u. The energy of formation comes out at 1.407 eV/atom.

---

[11]
# KMnMo2

A crystal of KMnMo2 relaxed with PBEsol (meta-GGA SCAN, Alexandria via LeMat-Bulk).

The space group is Pmmm (No. 47) and the conventional cell measures 2.7150, 3.5965 and 8.2513 Å, with angles of 90.00, 90.00 and 90.00 degrees. The distinct sites, in fractional coordinates, are K at (0.0000, 0.0000, 0.0000), Mn at (0.0000, 0.0000, 0.5000) and Mo at (0.5000, 0.5000, 0.3557).

The calculation puts the spin magnetization at 0.86 μB/f.u. The energy of formation comes out at 0.884 eV/atom. As for the energy above the most stable polymorph in this dataset: 0.000 eV/atom.

---

[12]
# TcSbSN2

A crystal of TcSbSN2 relaxed with PBEsol (meta-GGA SCAN, Alexandria via LeMat-Bulk).

The space group is P4/mmm (No. 123) and the conventional cell measures 3.9172, 3.9172 and 5.2340 Å, with angles of 90.00, 90.00 and 90.00 degrees. The distinct sites, in fractional coordinates, are Tc at (0.0000, 0.0000, 0.0000), Sb at (0.5000, 0.5000, 0.5000), S at (0.5000, 0.5000, 0.0000) and N at (0.0000, 0.5000, 0.5000).

The calculation puts the spin magnetization at 5.61 μB/f.u. The uncorrected formation energy comes out at 7.22 eV per formula unit.